Here is a geometry-optimized BaZr2Cl structure from the Alexandria database. Energies are from PBE.

Results
theoretical density = 5.60 g/cm3
space-group type = P4/mmm, No. 123
ΔE to the lowest computed polymorph = 0.973 eV per atom
ΔE_f (raw) = 0.66 eV per atom

Lattice parameters (Å, degrees): 5.5708 5.5708 3.3949 90.00 90.00 90.00
With the nearest neighbours (Å) after each atom.
Sites, in units of the cell vectors:
Ba 0.5000 0.0000 0.5000  8 Zr 3.26, 2 Ba 3.39
Cl 0.0000 0.5000 0.5000  8 Zr 3.26, 2 Cl 3.39
Zr 0.5000 0.5000 0.0000  4 Ba 3.26, 4 Cl 3.26, 2 Zr 3.39
Zr 0.0000 0.0000 0.0000  4 Ba 3.26, 4 Cl 3.26, 2 Zr 3.39